(1)
The following is a PBE calculation of crystalline Zr2Al2FeCoIr2 at its relaxed geometry, from the Open Quantum Materials Database.

a = 4.4054 Å, b = 4.4054 Å, c = 6.2364 Å
α = 90.00°, β = 90.00°, γ = 90.00°
With the nearest neighbours (Å) after each atom.
Positions (direct):
Al 0.0000 0.5000 0.2500  2 Co 2.70, 4 Ir 2.70, 2 Fe 2.70
Al 0.5000 0.0000 0.7500  2 Co 2.70, 4 Ir 2.70, 2 Fe 2.70
Co 0.0000 0.0000 0.0000  4 Al 2.70, 4 Zr 2.70
Fe 0.5000 0.5000 0.5000  4 Zr 2.70, 4 Al 2.70
Ir 0.5000 0.5000 0.0000  4 Al 2.70, 4 Zr 2.70
Ir 0.0000 0.0000 0.5000  4 Zr 2.70, 4 Al 2.70
Zr 0.5000 0.0000 0.2504  2 Fe 2.70, 4 Ir 2.70, 2 Co 2.70
Zr 0.0000 0.5000 0.7496  2 Fe 2.70, 4 Ir 2.70, 2 Co 2.70

E_tot: -7.905 eV per atom
Spin magnetization: 0.8 μB/f.u.

***

(2)
The following is a PBE calculation of crystalline MgAlFeCo at its relaxed geometry, from the Open Quantum Materials Database.

a = 4.1553 Å, b = 4.1553 Å, c = 4.1553 Å
α = 60.00°, β = 60.00°, γ = 60.00°
With the nearest neighbours (Å) after each atom.
Positions (direct):
Al 0.0000 0.0000 0.0000  4 Co 2.54, 4 Fe 2.54
Co 0.7500 0.7500 0.7500  4 Al 2.54, 4 Mg 2.54
Fe 0.2500 0.2500 0.2500  4 Mg 2.54, 4 Al 2.54
Mg 0.5000 0.5000 0.5000  4 Fe 2.54, 4 Co 2.54

Polymorph energy (0 for the lowest one): 0.00 eV/f.u.
Spin magnetization: 1.6 μB/f.u.

***

(3)
The following is a PBE calculation of crystalline AlFeCoMo at its relaxed geometry, from the Open Quantum Materials Database.

a = 4.1734 Å, b = 4.1734 Å, c = 4.1734 Å
α = 60.00°, β = 60.00°, γ = 60.00°
With the nearest neighbours (Å) after each atom.
Positions (direct):
Al 0.0000 0.0000 0.0000  4 Mo 2.56, 4 Fe 2.56
Co 0.5000 0.5000 0.5000  4 Fe 2.56, 4 Mo 2.56
Fe 0.7500 0.7500 0.7500  4 Co 2.56, 4 Al 2.56
Mo 0.2500 0.2500 0.2500  4 Al 2.56, 4 Co 2.56

Polymorph energy (0 for the lowest one): 1.02 eV/f.u.
Spin magnetization: 2.4 μB/f.u.

***

(4)
The following is a PBE calculation of crystalline AlFeCoMo at its relaxed geometry, from the Open Quantum Materials Database.

a = 4.1437 Å, b = 4.1437 Å, c = 4.1437 Å
α = 60.00°, β = 60.00°, γ = 60.00°
With the nearest neighbours (Å) after each atom.
Positions (direct):
Al 0.0000 0.0000 0.0000  4 Co 2.54, 4 Fe 2.54
Co 0.7500 0.7500 0.7500  4 Al 2.54, 4 Mo 2.54
Fe 0.2500 0.2500 0.2500  4 Mo 2.54, 4 Al 2.54
Mo 0.5000 0.5000 0.5000  4 Fe 2.54, 4 Co 2.54

Polymorph energy (0 for the lowest one): 0.00 eV/f.u.
Spin magnetization: 1.9 μB/f.u.

***

(5)
The following is a PBE calculation of crystalline AlFeCoS4 at its relaxed geometry, from the Open Quantum Materials Database.

a = 6.7885 Å, b = 6.7885 Å, c = 9.5825 Å
α = 90.00°, β = 90.00°, γ = 90.00°
With the nearest neighbours (Å) after each atom.
Positions (direct):
Al 0.2488 0.7512 0.1250  4 S 2.30-2.31
Al 0.2488 0.2488 0.3750  4 S 2.30-2.31
Al 0.7512 0.2488 0.6250  4 S 2.30-2.31
Al 0.7512 0.7512 0.8750  4 S 2.30-2.31
Co 0.5000 0.2508 0.0000  6 S 2.27-2.28
Co 0.7492 0.5000 0.2500  6 S 2.27-2.28
Co 0.5000 0.7492 0.5000  6 S 2.27-2.28
Co 0.2508 0.5000 0.7500  6 S 2.27-2.28
Fe 0.0000 0.2513 0.0000  6 S 2.27
Fe 0.7487 0.0000 0.2500  6 S 2.27
Fe 0.0000 0.7487 0.5000  6 S 2.27
Fe 0.2513 0.0000 0.7500  6 S 2.27
S 0.7506 0.0285 0.0135  2 Fe 2.27, 1 Co 2.28, 1 Al 2.30
S 0.7513 0.4729 0.0136  1 Fe 2.27, 2 Co 2.27-2.28, 1 Al 2.31
S 0.5271 0.2487 0.2364  1 Fe 2.27, 2 Co 2.27-2.28, 1 Al 2.31
S 0.9715 0.2494 0.2365  2 Fe 2.27, 1 Co 2.28, 1 Al 2.30
S 0.9715 0.7506 0.2635  2 Fe 2.27, 1 Co 2.28, 1 Al 2.30
S 0.5271 0.7513 0.2636  1 Fe 2.27, 2 Co 2.27-2.28, 1 Al 2.31
S 0.7513 0.5271 0.4864  1 Fe 2.27, 2 Co 2.27-2.28, 1 Al 2.31
S 0.7506 0.9715 0.4865  2 Fe 2.27, 1 Co 2.28, 1 Al 2.30
S 0.2494 0.9715 0.5135  2 Fe 2.27, 1 Co 2.28, 1 Al 2.30
S 0.2487 0.5271 0.5136  1 Fe 2.27, 2 Co 2.27-2.28, 1 Al 2.31
S 0.4729 0.7513 0.7364  1 Fe 2.27, 2 Co 2.27-2.28, 1 Al 2.31
S 0.0285 0.7506 0.7365  2 Fe 2.27, 1 Co 2.28, 1 Al 2.30
S 0.0285 0.2494 0.7635  2 Fe 2.27, 1 Co 2.28, 1 Al 2.30
S 0.4729 0.2487 0.7636  1 Fe 2.27, 2 Co 2.27-2.28, 1 Al 2.31
S 0.2487 0.4729 0.9864  1 Fe 2.27, 2 Co 2.27-2.28, 1 Al 2.31
S 0.2494 0.0285 0.9865  2 Fe 2.27, 1 Co 2.28, 1 Al 2.30

Polymorph energy (0 for the lowest one): 0.39 eV/f.u.
Spin magnetization: 0.0 μB/f.u.

***

(6)
The following is a PBE calculation of crystalline AlFeCoS4 at its relaxed geometry, from the Open Quantum Materials Database.

a = 6.8959 Å, b = 6.8959 Å, c = 9.6785 Å
α = 90.00°, β = 90.00°, γ = 90.00°
With the nearest neighbours (Å) after each atom.
Positions (direct):
Al 0.0000 0.2553 0.0000  6 S 2.40-2.41
Al 0.7447 0.0000 0.2500  6 S 2.40-2.41
Al 0.0000 0.7447 0.5000  6 S 2.40-2.41
Al 0.2553 0.0000 0.7500  6 S 2.40-2.41
Co 0.5000 0.2552 0.0000  6 S 2.27-2.29
Co 0.7448 0.5000 0.2500  6 S 2.27-2.29
Co 0.5000 0.7448 0.5000  6 S 2.27-2.29
Co 0.2552 0.5000 0.7500  6 S 2.27-2.29
Fe 0.2532 0.7468 0.1250  4 S 2.26-2.27
Fe 0.2532 0.2532 0.3750  4 S 2.26-2.27
Fe 0.7468 0.2532 0.6250  4 S 2.26-2.27
Fe 0.7468 0.7468 0.8750  4 S 2.26-2.27
S 0.7390 0.0237 0.0026  1 Fe 2.27, 1 Co 2.29, 2 Al 2.40-2.41
S 0.7372 0.4834 0.0144  1 Fe 2.26, 2 Co 2.27-2.28, 1 Al 2.40
S 0.5166 0.2628 0.2356  1 Fe 2.26, 2 Co 2.27-2.28, 1 Al 2.40
S 0.9763 0.2610 0.2474  1 Fe 2.27, 1 Co 2.29, 2 Al 2.40-2.41
S 0.9763 0.7390 0.2526  1 Fe 2.27, 1 Co 2.29, 2 Al 2.40-2.41
S 0.5166 0.7372 0.2644  1 Fe 2.26, 2 Co 2.27-2.28, 1 Al 2.40
S 0.7372 0.5166 0.4856  1 Fe 2.26, 2 Co 2.27-2.28, 1 Al 2.40
S 0.7390 0.9763 0.4974  1 Fe 2.27, 1 Co 2.29, 2 Al 2.40-2.41
S 0.2610 0.9763 0.5026  1 Fe 2.27, 1 Co 2.29, 2 Al 2.40-2.41
S 0.2628 0.5166 0.5144  1 Fe 2.26, 2 Co 2.27-2.28, 1 Al 2.40
S 0.4834 0.7372 0.7356  1 Fe 2.26, 2 Co 2.27-2.28, 1 Al 2.40
S 0.0237 0.7390 0.7474  1 Fe 2.27, 1 Co 2.29, 2 Al 2.40-2.41
S 0.0237 0.2610 0.7526  1 Fe 2.27, 1 Co 2.29, 2 Al 2.40-2.41
S 0.4834 0.2628 0.7644  1 Fe 2.26, 2 Co 2.27-2.28, 1 Al 2.40
S 0.2628 0.4834 0.9856  1 Fe 2.26, 2 Co 2.27-2.28, 1 Al 2.40
S 0.2610 0.0237 0.9974  1 Fe 2.27, 1 Co 2.29, 2 Al 2.40-2.41

Polymorph energy (0 for the lowest one): 0.00 eV/f.u.
Spin magnetization: 4.0 μB/f.u.

***

(7)
The following is a PBE calculation of crystalline AlFeCoS4 at its relaxed geometry, from the Open Quantum Materials Database.

a = 6.8322 Å, b = 6.8322 Å, c = 9.5827 Å
α = 90.00°, β = 90.00°, γ = 90.00°
With the nearest neighbours (Å) after each atom.
Positions (direct):
Al 0.5000 0.2443 0.0000  6 S 2.38-2.41
Al 0.7557 0.5000 0.2500  6 S 2.38-2.41
Al 0.5000 0.7557 0.5000  6 S 2.38-2.41
Al 0.2443 0.5000 0.7500  6 S 2.38-2.41
Co 0.2522 0.7478 0.1250  4 S 2.19-2.22
Co 0.2522 0.2522 0.3750  4 S 2.19-2.22
Co 0.7478 0.2522 0.6250  4 S 2.19-2.22
Co 0.7478 0.7478 0.8750  4 S 2.19-2.22
Fe 0.0000 0.2366 0.0000  6 S 2.27-2.31
Fe 0.7634 0.0000 0.2500  6 S 2.27-2.31
Fe 0.0000 0.7634 0.5000  6 S 2.27-2.31
Fe 0.2366 0.0000 0.7500  6 S 2.27-2.31
S 0.7616 0.4770 0.0020  1 Co 2.22, 1 Fe 2.31, 2 Al 2.38-2.39
S 0.7601 0.0069 0.0096  1 Co 2.19, 2 Fe 2.27-2.30, 1 Al 2.41
S 0.9931 0.2399 0.2404  1 Co 2.19, 2 Fe 2.27-2.30, 1 Al 2.41
S 0.5230 0.2384 0.2480  1 Co 2.22, 1 Fe 2.31, 2 Al 2.38-2.39
S 0.5230 0.7616 0.2520  1 Co 2.22, 1 Fe 2.31, 2 Al 2.38-2.39
S 0.9931 0.7601 0.2596  1 Co 2.19, 2 Fe 2.27-2.30, 1 Al 2.41
S 0.7601 0.9931 0.4904  1 Co 2.19, 2 Fe 2.27-2.30, 1 Al 2.41
S 0.7616 0.5230 0.4980  1 Co 2.22, 1 Fe 2.31, 2 Al 2.38-2.39
S 0.2384 0.5230 0.5020  1 Co 2.22, 1 Fe 2.31, 2 Al 2.38-2.39
S 0.2399 0.9931 0.5096  1 Co 2.19, 2 Fe 2.27-2.30, 1 Al 2.41
S 0.0069 0.7601 0.7404  1 Co 2.19, 2 Fe 2.27-2.30, 1 Al 2.41
S 0.4770 0.7616 0.7480  1 Co 2.22, 1 Fe 2.31, 2 Al 2.38-2.39
S 0.4770 0.2384 0.7520  1 Co 2.22, 1 Fe 2.31, 2 Al 2.38-2.39
S 0.0069 0.2399 0.7596  1 Co 2.19, 2 Fe 2.27-2.30, 1 Al 2.41
S 0.2399 0.0069 0.9904  1 Co 2.19, 2 Fe 2.27-2.30, 1 Al 2.41
S 0.2384 0.4770 0.9980  1 Co 2.22, 1 Fe 2.31, 2 Al 2.38-2.39

Polymorph energy (0 for the lowest one): 0.32 eV/f.u.
Spin magnetization: 3.6 μB/f.u.

***

(8)
The following is a PBE calculation of crystalline Y2Al4FeCo at its relaxed geometry, from the Open Quantum Materials Database.

a = 7.0123 Å, b = 5.4564 Å, c = 5.4564 Å
α = 43.26°, β = 90.00°, γ = 90.00°
With the nearest neighbours (Å) after each atom.
Positions (direct):
Al 0.3048 0.3397 0.3397  1 Co 2.48, 2 Fe 2.50, 1 Al 2.74
Al 0.6952 0.3397 0.3397  1 Co 2.48, 2 Fe 2.50, 1 Al 2.74
Al 0.1927 0.6607 0.6607  1 Fe 2.49, 2 Co 2.49, 1 Al 2.70
Al 0.8073 0.6607 0.6607  1 Fe 2.49, 2 Co 2.49, 1 Al 2.70
Co 0.0000 0.2162 0.2162  6 Al 2.48-2.49
Fe 0.5000 0.7828 0.7828  6 Al 2.49-2.50
Y 0.5000 0.0598 0.0598  3 Fe 2.81-3.03, 4 Al 3.12
Y 0.0000 0.9404 0.9404  3 Co 2.80-3.04, 4 Al 3.11

E_tot: -5.867 eV per atom
Spin magnetization: 0.7 μB/f.u.

***

(9)
The following is a PBE calculation of crystalline Al4GaCo5 at its relaxed geometry, from the Open Quantum Materials Database.

a = 2.8568 Å, b = 2.8568 Å, c = 14.2756 Å
α = 90.00°, β = 90.00°, γ = 90.00°
With the nearest neighbours (Å) after each atom.
Positions (direct):
Al 0.0000 0.0000 0.2011  8 Co 2.47-2.48
Al 0.0000 0.0000 0.4003  8 Co 2.47
Al 0.0000 0.0000 0.5997  8 Co 2.47
Al 0.0000 0.0000 0.7989  8 Co 2.47-2.48
Co 0.5000 0.5000 0.1007  4 Al 2.48, 4 Ga 2.48
Co 0.5000 0.5000 0.3007  8 Al 2.47
Co 0.5000 0.5000 0.5000  8 Al 2.47
Co 0.5000 0.5000 0.6993  8 Al 2.47
Co 0.5000 0.5000 0.8993  4 Al 2.48, 4 Ga 2.48
Ga 0.0000 0.0000 0.0000  8 Co 2.48

E_tot: -5.896 eV per atom
Spin magnetization: 0.0 μB/f.u.

***

(10)
The following is a PBE calculation of crystalline AlGa2Co at its relaxed geometry, from the Open Quantum Materials Database.

a = 4.3238 Å, b = 4.3238 Å, c = 4.3238 Å
α = 60.00°, β = 60.00°, γ = 60.00°
With the nearest neighbours (Å) after each atom.
Positions (direct):
Al 0.5000 0.5000 0.5000  4 Co 2.65, 4 Ga 2.65
Co 0.2500 0.2500 0.2500  4 Al 2.65, 4 Ga 2.65
Ga 0.0000 0.0000 0.0000  4 Ga 2.65, 4 Co 2.65
Ga 0.7500 0.7500 0.7500  4 Ga 2.65, 4 Al 2.65

E_tot: -4.126 eV per atom
Spin magnetization: 0.0 μB/f.u.

***

(11)
The following is a PBE calculation of crystalline AlGa2Co3 at its relaxed geometry, from the Open Quantum Materials Database.

a = 2.8732 Å, b = 2.8732 Å, c = 8.5807 Å
α = 90.00°, β = 90.00°, γ = 90.00°
With the nearest neighbours (Å) after each atom.
Positions (direct):
Al 0.5000 0.5000 0.5000  8 Co 2.48
Co 0.0000 0.0000 0.0000  8 Ga 2.49
Co 0.0000 0.0000 0.3342  4 Al 2.48, 4 Ga 2.48
Co 0.0000 0.0000 0.6658  4 Al 2.48, 4 Ga 2.48
Ga 0.5000 0.5000 0.1683  8 Co 2.48-2.49
Ga 0.5000 0.5000 0.8317  8 Co 2.48-2.49

E_tot: -5.577 eV per atom
Spin magnetization: 0.0 μB/f.u.

***

(12)
The following is a PBE calculation of crystalline Al2GaCo at its relaxed geometry, from the Open Quantum Materials Database.

a = 4.2741 Å, b = 4.2741 Å, c = 4.2741 Å
α = 60.00°, β = 60.00°, γ = 60.00°
With the nearest neighbours (Å) after each atom.
Positions (direct):
Al 0.0000 0.0000 0.0000  4 Co 2.62, 4 Al 2.62
Al 0.7500 0.7500 0.7500  4 Ga 2.62, 4 Al 2.62
Co 0.2500 0.2500 0.2500  4 Al 2.62, 4 Ga 2.62
Ga 0.5000 0.5000 0.5000  4 Al 2.62, 4 Co 2.62

E_tot: -4.382 eV per atom
Spin magnetization: 0.0 μB/f.u.